This record from the Open Quantum Materials Database describes a relaxed structure of Li3Al4Au2. The functional is PBE.

Structure (CIF):
```
data_Li3Al4Au2
_chemical_formula_sum 'Li3 Al4 Au2'
_symmetry_space_group_name_H-M 'P -1'
_symmetry_Int_Tables_number 2
_cell_length_a 4.365
_cell_length_b 5.221
_cell_length_c 7.489
_cell_angle_alpha 103.58
_cell_angle_beta 90.06
_cell_angle_gamma 114.65
loop_
_symmetry_equiv_pos_as_xyz
'x,y,z'
'-x,-y,-z'
loop_
_atom_site_label
_atom_site_type_symbol
_atom_site_fract_x
_atom_site_fract_y
_atom_site_fract_z
Li1 Li 0.000 0.000 0.000
Li2 Li 0.463 0.927 0.675
Al1 Al 0.151 0.301 0.559
Al2 Al 0.321 0.643 0.944
Au1 Au 0.246 0.491 0.259
```

---

This record from the Open Quantum Materials Database describes a relaxed structure of SmAl3N. The functional is PBE.

Structure (CIF):
```
data_SmAl3N
_chemical_formula_sum 'Sm1 Al3 N1'
_symmetry_space_group_name_H-M 'P m -3 m'
_symmetry_Int_Tables_number 221
_symmetry_space_group_name_Hall '-P 4 2 3'
_cell_length_a 4.392
_cell_length_b 4.392
_cell_length_c 4.392
_cell_angle_alpha 90.00
_cell_angle_beta 90.00
_cell_angle_gamma 90.00
loop_
_atom_site_label
_atom_site_type_symbol
_atom_site_fract_x
_atom_site_fract_y
_atom_site_fract_z
Sm1 Sm 0.000 0.000 0.000
Al1 Al 0.000 0.500 0.500
N1 N 0.500 0.500 0.500
```

---

| no. | E (eV/atom) |
| --- | --- |
| 1 | -3.45 |
| 2 | -4.78 |